Density functional theory data (PBE) for Nd6Sm5Pu after structural relaxation.

The structure in CIF format:
```
data_Nd6Sm5Pu
_cell_length_a 5.1434
_cell_length_b 15.4462
_cell_length_c 10.2852
_cell_angle_alpha 90.00
_cell_angle_beta 90.05
_cell_angle_gamma 90.00
_symmetry_space_group_name_H-M 'C 1 2/m 1'
_symmetry_Int_Tables_number 12
loop_
_symmetry_equiv_pos_as_xyz
'x,y,z'
'-x,-y,-z'
'-x,y,-z'
'x,-y,z'
'x+1/2,y+1/2,z'
'-x+1/2,-y+1/2,-z'
'-x+1/2,y+1/2,-z'
'x+1/2,-y+1/2,z'
loop_
_atom_site_label
_atom_site_fract_x
_atom_site_fract_y
_atom_site_fract_z
Nd1 0.0001 0.0000 0.2474
Nd2 0.9999 0.3351 0.2469
Sm1 0.0000 0.1637 0.0000
Sm2 0.0000 0.1669 0.5000
Sm3 0.0000 0.5000 0.5000
Pu1 0.0000 0.5000 0.0000
```

---

Density functional theory data (PBE) for Nd5Sm4Pu after structural relaxation.

The structure in CIF format:
```
data_Nd5Sm4Pu
_cell_length_a 17.3867
_cell_length_b 3.5875
_cell_length_c 11.5733
_cell_angle_alpha 90.00
_cell_angle_beta 109.26
_cell_angle_gamma 90.00
_symmetry_space_group_name_H-M 'C 1 2/m 1'
_symmetry_Int_Tables_number 12
loop_
_symmetry_equiv_pos_as_xyz
'x,y,z'
'-x,-y,-z'
'-x,y,-z'
'x,-y,z'
'x+1/2,y+1/2,z'
'-x+1/2,-y+1/2,-z'
'-x+1/2,y+1/2,-z'
'x+1/2,-y+1/2,z'
loop_
_atom_site_label
_atom_site_fract_x
_atom_site_fract_y
_atom_site_fract_z
Nd1 0.0000 0.0000 0.0000
Nd2 0.1911 0.5000 0.0834
Nd3 0.2072 0.5000 0.6115
Sm1 0.0845 0.5000 0.2973
Sm2 0.1040 0.0000 0.7941
Pu1 0.0000 0.0000 0.5000
```

---

Density functional theory data (PBE) for NdSm2Pu after structural relaxation.

The structure in CIF format:
```
data_NdSm2Pu
_cell_length_a 5.0635
_cell_length_b 5.0635
_cell_length_c 5.0688
_cell_angle_alpha 90.00
_cell_angle_beta 90.00
_cell_angle_gamma 90.00
_symmetry_space_group_name_H-M 'P 4/m m m'
_symmetry_Int_Tables_number 123
_symmetry_space_group_name_Hall '-P 4 2'
loop_
_atom_site_label
_atom_site_fract_x
_atom_site_fract_y
_atom_site_fract_z
Nd1 0.0000 0.0000 0.0000
Sm1 0.0000 0.5000 0.5000
Pu1 0.5000 0.5000 0.0000
```

---

Density functional theory data (PBE) for NdSmPu after structural relaxation.

The structure in CIF format:
```
data_NdSmPu
_cell_length_a 3.5674
_cell_length_b 3.5674
_cell_length_c 15.1652
_cell_angle_alpha 90.00
_cell_angle_beta 90.00
_cell_angle_gamma 90.00
_symmetry_space_group_name_H-M 'I 4 m m'
_symmetry_Int_Tables_number 107
_symmetry_space_group_name_Hall 'I 4 -2'
loop_
_atom_site_label
_atom_site_fract_x
_atom_site_fract_y
_atom_site_fract_z
Nd1 0.0000 0.0000 0.0000
Sm1 0.0000 0.0000 0.3262
Pu1 0.0000 0.0000 0.6643
```

---

Number 1: total energy -131.85 eV for the cell shown, formation energy from the elements 5 kJ/mol of atoms. Number 2: total energy -112.53 eV for the cell shown, formation energy from the elements 8 kJ/mol of atoms. Number 3: total energy -27.93 eV for the cell shown, formation energy from the elements 15 kJ/mol of atoms. Number 4: total energy -46.86 eV for the cell shown, formation energy from the elements 13 kJ/mol of atoms.